The following is a PBE with a Hubbard U calculation of a geometry-optimized Hf2WCF structure, from Alexandria.

Unit cell a=4.1570 b=4.1570 c=4.6013 alpha=90.00 beta=90.00 gamma=90.00
Last column: nearest neighbours and their distance in Å.
Positions (direct):
Hf  0.0000  0.5000  0.0000  2 F 2.08
Hf  0.5000  0.0000  0.0000  2 F 2.08
W  0.0000  0.0000  0.5000  4 C 2.94, 8 Hf 3.10
C  0.5000  0.5000  0.5000  2 F 2.30
F  0.5000  0.5000  0.0000  4 Hf 2.08, 2 C 2.30

Output
The total moment is 1.03 μB per cell. The total energy is -34.95 eV for the cell shown. Its space-group type is P4/mmm, No. 123.